1.
Entry from the Alexandria database: an optimized crystal structure of Pu2CuRh5 (PBE).

a = 5.8056 Å, b = 5.8056 Å, c = 5.6611 Å
α = 120.85°, β = 120.85°, γ = 90.00°
Each line ends with the local moment (μB).
Fractional positions:
Pu: 0.2221 0.7221 0.4443  4.43
Pu: 0.7221 0.2221 0.4443  4.43
Cu: 0.2224 0.2224 0.4448  -0.01
Rh: 0.7222 0.2220 0.9442  -0.45
Rh: 0.2220 0.2220 0.9441  -0.45
Rh: 0.7222 0.7222 0.9442  -0.45
Rh: 0.2220 0.7222 0.9442  -0.45
Rh: 0.7220 0.7220 0.4440  -0.51

Values from the calculation:
Its total magnetization is 6.662 Bohr magnetons per cell. The symmetry is I4/mmm (139). The total energy comes out at -72.5 eV/cell.



2.
Entry from the Alexandria database: an optimized crystal structure of NaZrSbI2 (PBE).

a = 5.8616 Å, b = 5.8616 Å, c = 5.6353 Å
α = 90.00°, β = 90.00°, γ = 90.00°
Fractional positions:
I: 0.0000 0.5000 0.0000
I: 0.5000 0.0000 0.0000
Sb: 0.0000 0.0000 0.5000
Zr: 0.0000 0.0000 0.0000
Na: 0.5000 0.5000 0.5000

Values from the calculation:
Its total magnetization is 0.000 Bohr magnetons per cell. The symmetry is P4/mmm (123). The polymorph energy (0 for the lowest one) comes out at 0.0000 eV/atom. The calculation puts the formation energy (no corrections) at -410 meV/atom.



3.
Entry from the Alexandria database: an optimized crystal structure of Pu3Se2N2 (PBE).

a = 3.9251 Å, b = 6.7348 Å, c = 6.3417 Å
α = 106.58°, β = 108.03°, γ = 90.00°
Each line ends with the local moment (μB).
Fractional positions:
Pu: 0.0000 0.5000 0.0000  4.67
Pu: 0.3015 0.7285 0.6030  4.84
Pu: 0.6985 0.2715 0.3970  4.84
Se: 0.6117 0.8089 0.2234  -0.13
Se: 0.3883 0.1911 0.7766  -0.13
N: 0.8394 0.5888 0.6789  -0.24
N: 0.1606 0.4112 0.3211  -0.24

Values from the calculation:
Its total magnetization is 14.000 Bohr magnetons per cell. The symmetry is C2/m (12). The polymorph energy (0 for the lowest one) comes out at 0.0000 eV/atom. The calculation puts the formation energy (no corrections) at -1405 meV/atom.